(1)
Computed, not measured: an optimized crystal structure of ZrHPt at the GGA-PBE level of DFT.

a b c (Å): 3.549 3.626 6.332
angles (deg): 90.00 90.00 90.00
Space group Pmm2 (No. 25)
Inequivalent atoms, fractional coordinates:
Zr1 0.000 0.000 0.000 [1 per cell]
Zr2 0.500 0.500 0.331 [1 per cell]
H1 0.000 0.500 0.168 [1 per cell]
H2 0.000 0.500 0.562 [1 per cell]
Pt1 0.000 0.000 0.540 [1 per cell]
Pt2 0.500 0.500 0.807 [1 per cell]

The value obtained for the size of the total moment is 0.00 μB per cell. The polymorph energy (0 for the lowest one) is 0.153 eV per atom.

=====

(2)
Computed, not measured: an optimized crystal structure of CaBi3Rh at the GGA-PBE level of DFT.

a b c (Å): 5.404 5.404 5.404
angles (deg): 90.00 90.00 90.00
Space group Pm-3m (No. 221)
Inequivalent atoms, fractional coordinates:
Ca1 0.000 0.000 0.000 [1 per cell]
Bi1 0.000 0.500 0.500 [3 per cell]
Rh1 0.500 0.500 0.500 [1 per cell]

Its formation energy is -0.04 eV/atom. The value obtained for the size of the total moment is 0.00 μB per cell. The polymorph energy (0 for the lowest one) is 0.314 eV per atom.

=====

(3)
Computed, not measured: an optimized crystal structure of AcAlSiAg2 at the GGA-PBE level of DFT.

a b c (Å): 4.261 4.407 11.709
angles (deg): 90.00 90.00 90.00
Space group Imm2 (No. 44)
Inequivalent atoms, fractional coordinates:
Ac1 0.000 0.000 0.000 [2 per cell]
Al1 0.000 0.500 0.757 [2 per cell]
Si1 0.000 0.000 0.394 [2 per cell]
Ag1 0.000 0.000 0.617 [2 per cell]
Ag2 0.000 0.500 0.272 [2 per cell]

The value obtained for the size of the total moment is 0.00 μB per cell. The calculation puts the raw formation energy at -360 meV/atom.

=====

(4)
Computed, not measured: an optimized crystal structure of NaHf4Se8 at the GGA-PBE level of DFT.

a b c (Å): 11.155 11.155 11.155
angles (deg): 90.00 90.00 90.00
Space group F-43m (No. 216)
Inequivalent atoms, fractional coordinates:
Na1 0.000 0.000 0.000 [4 per cell]
Hf1 0.121 0.121 0.621 [16 per cell]
Se1 0.121 0.121 0.379 [16 per cell]
Se2 0.137 0.137 0.863 [16 per cell]

The value obtained for the size of the total moment is 0.00 μB per cell. The calculation puts the raw formation energy at -1282 meV/atom. The polymorph energy (0 for the lowest one) is 0.078 eV per atom.

=====

(5)
Computed, not measured: an optimized crystal structure of AcCe2Pb2Au2 at the GGA-PBE level of DFT.

a b c (Å): 4.9181 4.9181 28.4838
angles (deg): 90.00 90.00 120.00
Space group R-3m (No. 166, hexagonal axes)
Inequivalent atoms, fractional coordinates:
Ac1 0.0000 0.0000 0.0000 [3 per cell]
Ce1 0.0000 0.0000 0.1431 [6 per cell]
Pb1 0.0000 0.0000 0.2636 [6 per cell]
Au1 0.0000 0.0000 0.4410 [6 per cell]

Its formation energy is -0.49 eV/atom. The value obtained for the size of the total moment is 7.12 μB per cell.

=====

(6)
Computed, not measured: an optimized crystal structure of Pm3Pr7Sm2 at the GGA-PBE level of DFT.

a b c (Å): 6.586 3.619 17.999
angles (deg): 90.00 95.97 90.00
Space group P2/m (No. 10)
Inequivalent atoms, fractional coordinates:
Pm1 0.000 0.000 0.000 [1 per cell]
Pm2 0.046 0.500 0.661 [2 per cell]
Pr1 0.226 0.500 0.167 [2 per cell]
Pr2 0.244 0.000 0.504 [2 per cell]
Pr3 0.275 0.000 0.830 [2 per cell]
Pr4 0.500 0.500 0.000 [1 per cell]
Sm1 0.443 0.000 0.330 [2 per cell]

Its formation energy is 0.07 eV/atom. The value obtained for the size of the total moment is 0.00 μB per cell. The polymorph energy (0 for the lowest one) is 0.000 eV per atom.

=====

(7)
Computed, not measured: an optimized crystal structure of RbMg2CdCu at the GGA-PBE level of DFT.

a b c (Å): 5.182 5.182 5.242
angles (deg): 90.00 90.00 90.00
Space group P4/mmm (No. 123)
Inequivalent atoms, fractional coordinates:
Rb1 0.000 0.000 0.000 [1 per cell]
Mg1 0.000 0.500 0.500 [2 per cell]
Cd1 0.500 0.500 0.000 [1 per cell]
Cu1 0.500 0.500 0.500 [1 per cell]

Its formation energy is 0.11 eV/atom. The value obtained for the size of the total moment is 0.00 μB per cell.

=====

(8)
Computed, not measured: an optimized crystal structure of TmSc5Sn3 at the GGA-PBE level of DFT.

a b c (Å): 8.7892 8.7892 6.2563
angles (deg): 90.00 90.00 120.00
Space group P6_3/mcm (No. 193)
Inequivalent atoms, fractional coordinates:
Tm1 0.0000 0.0000 0.0000 [2 per cell]
Sc1 0.0000 0.3365 0.2500 [6 per cell]
Sc2 0.3333 0.6667 0.0000 [4 per cell]
Sn1 0.0000 0.3343 0.7500 [6 per cell]

Its formation energy is -0.56 eV/atom. The value obtained for the size of the total moment is 6.20 μB per cell. The polymorph energy (0 for the lowest one) is 0.000 eV per atom.

=====

(9)
Computed, not measured: an optimized crystal structure of K2UTlSe5 at the GGA-PBE level of DFT.

a b c (Å): 4.253 19.254 14.230
angles (deg): 90.00 90.00 90.00
Space group Cmc2_1 (No. 36)
Inequivalent atoms, fractional coordinates:
K1 0.000 0.111 0.000 [4 per cell]
K2 0.000 0.131 0.640 [4 per cell]
U1 0.000 0.211 0.343 [4 per cell]
Tl1 0.000 0.452 0.754 [4 per cell]
Se1 0.000 0.061 0.376 [4 per cell]
Se2 0.000 0.289 0.969 [4 per cell]
Se3 0.000 0.302 0.713 [4 per cell]
Se4 0.000 0.346 0.325 [4 per cell]
Se5 0.000 0.495 0.090 [4 per cell]

The value obtained for the size of the total moment is 3.98 μB per cell. The calculation puts the raw formation energy at -919 meV/atom.

=====

(10)
Computed, not measured: an optimized crystal structure of HgPdO3 at the GGA-PBE level of DFT.

a b c (Å): 6.984 5.324 7.068
angles (deg): 90.00 108.30 90.00
Space group P2_1/c (No. 14)
Inequivalent atoms, fractional coordinates:
Hg1 0.092 0.235 0.104 [4 per cell]
Pd1 0.417 0.743 0.891 [4 per cell]
O1 0.134 0.641 0.249 [4 per cell]
O2 0.311 0.092 0.455 [4 per cell]
O3 0.412 0.556 0.636 [4 per cell]

The value obtained for the size of the total moment is 0.00 μB per cell. The calculation puts the raw formation energy at -278 meV/atom.

=====

(11)
Computed, not measured: an optimized crystal structure of Ce3Pr2DyN6 at the GGA-PBE level of DFT.

a b c (Å): 6.224 10.780 6.204
angles (deg): 90.00 109.52 90.00
Space group C2/m (No. 12)
Inequivalent atoms, fractional coordinates:
Ce1 0.000 0.000 0.000 [2 per cell]
Ce2 0.000 0.334 0.000 [4 per cell]
Pr1 0.000 0.167 0.500 [4 per cell]
Dy1 0.000 0.500 0.500 [2 per cell]
N1 0.233 0.500 0.237 [4 per cell]
N2 0.248 0.340 0.762 [8 per cell]

The value obtained for the size of the total moment is 0.01 μB per cell. The calculation puts the raw formation energy at -1472 meV/atom.

=====

(12)
Computed, not measured: an optimized crystal structure of Nb6ZnGa3 at the GGA-PBE level of DFT.

a b c (Å): 8.546 13.181 6.526
angles (deg): 90.00 90.00 90.00
Space group Cmc2_1 (No. 36)
Inequivalent atoms, fractional coordinates:
Nb1 0.000 0.048 0.000 [4 per cell]
Nb2 0.000 0.271 0.243 [4 per cell]
Nb3 0.190 0.441 0.190 [8 per cell]
Nb4 0.221 0.209 0.977 [8 per cell]
Zn1 0.000 0.175 0.654 [4 per cell]
Ga1 0.000 0.399 0.589 [4 per cell]
Ga2 0.180 0.107 0.334 [8 per cell]

Its formation energy is 0.06 eV/atom. The value obtained for the size of the total moment is 0.00 μB per cell.

=====

(13)
Computed, not measured: an optimized crystal structure of ScCdCl2 at the GGA-PBE level of DFT.

a b c (Å): 8.158 8.158 9.835
angles (deg): 90.00 90.00 90.00
Space group I-42d (No. 122)
Inequivalent atoms, fractional coordinates:
Sc1 0.000 0.000 0.000 [4 per cell]
Cd1 0.000 0.000 0.500 [4 per cell]
Cl1 0.076 0.250 0.125 [8 per cell]

The value obtained for the size of the total moment is 4.00 μB per cell. The calculation puts the raw formation energy at -1005 meV/atom. The polymorph energy (0 for the lowest one) is 0.278 eV per atom.

=====

(14)
Computed, not measured: an optimized crystal structure of Sm7ErTl5 at the GGA-PBE level of DFT.

a b c (Å): 6.713 10.828 11.062
angles (deg): 90.00 90.00 90.00
Space group Imm2 (No. 44)
Inequivalent atoms, fractional coordinates:
Sm1 0.000 0.000 0.000 [2 per cell]
Sm2 0.000 0.000 0.332 [2 per cell]
Sm3 0.000 0.314 0.111 [4 per cell]
Sm4 0.000 0.335 0.626 [4 per cell]
Sm5 0.000 0.500 0.353 [2 per cell]
Er1 0.000 0.000 0.670 [2 per cell]
Tl1 0.000 0.500 0.881 [2 per cell]
Tl2 0.244 0.238 0.867 [8 per cell]

Its formation energy is -0.16 eV/atom. The value obtained for the size of the total moment is 0.00 μB per cell.

=====

(15)
Computed, not measured: an optimized crystal structure of TlPSe3 at the GGA-PBE level of DFT.

a b c (Å): 6.552 6.378 6.668
angles (deg): 90.00 95.04 90.00
Space group P2_1/m (No. 11)
Inequivalent atoms, fractional coordinates:
Tl1 0.200 0.250 0.405 [2 per cell]
P1 0.460 0.750 0.096 [2 per cell]
Se1 0.247 0.033 0.899 [4 per cell]
Se2 0.337 0.750 0.393 [2 per cell]

The value obtained for the size of the total moment is 0.00 μB per cell. The calculation puts the raw formation energy at -87 meV/atom.

=====

(16)
Computed, not measured: an optimized crystal structure of KSrCa2Rh at the GGA-PBE level of DFT.

a b c (Å): 5.727 5.727 6.010
angles (deg): 90.00 90.00 90.00
Space group P4/mmm (No. 123)
Inequivalent atoms, fractional coordinates:
K1 0.000 0.000 0.000 [1 per cell]
Sr1 0.500 0.500 0.000 [1 per cell]
Ca1 0.000 0.500 0.500 [2 per cell]
Rh1 0.500 0.500 0.500 [1 per cell]

Its formation energy is -0.15 eV/atom. The value obtained for the size of the total moment is 0.00 μB per cell. The polymorph energy (0 for the lowest one) is 0.000 eV per atom.

=====

(17)
Computed, not measured: an optimized crystal structure of Pm2CuSe at the GGA-PBE level of DFT.

a b c (Å): 4.1007 4.1007 21.4346
angles (deg): 90.00 90.00 120.00
Space group R-3m (No. 166, hexagonal axes)
Inequivalent atoms, fractional coordinates:
Pm1 0.0000 0.0000 0.2493 [6 per cell]
Cu1 0.0000 0.0000 0.5000 [3 per cell]
Se1 0.0000 0.0000 0.0000 [3 per cell]

The value obtained for the size of the total moment is 0.00 μB per cell. The calculation puts the raw formation energy at -926 meV/atom. The polymorph energy (0 for the lowest one) is 0.071 eV per atom.

=====

(18)
Computed, not measured: an optimized crystal structure of AcLaTh2S4 at the GGA-PBE level of DFT.

a b c (Å): 7.116 4.139 7.187
angles (deg): 90.00 109.41 90.00
Space group P2/m (No. 10)
Inequivalent atoms, fractional coordinates:
Ac1 0.000 0.000 0.000 [1 per cell]
La1 0.500 0.500 0.000 [1 per cell]
Th1 0.000 0.500 0.500 [1 per cell]
Th2 0.500 0.000 0.500 [1 per cell]
S1 0.251 0.000 0.740 [2 per cell]
S2 0.258 0.500 0.263 [2 per cell]

The value obtained for the size of the total moment is 0.00 μB per cell. The calculation puts the raw formation energy at -1943 meV/atom.

=====

(19)
Computed, not measured: an optimized crystal structure of Pr4NdPb2 at the GGA-PBE level of DFT.

a b c (Å): 5.635 5.635 16.763
angles (deg): 90.00 90.00 90.00
Space group I4/mmm (No. 139)
Inequivalent atoms, fractional coordinates:
Pr1 0.000 0.000 0.182 [4 per cell]
Pr2 0.000 0.500 0.000 [4 per cell]
Nd1 0.000 0.000 0.000 [2 per cell]
Pb1 0.000 0.000 0.370 [4 per cell]

Its formation energy is 0.30 eV/atom. The value obtained for the size of the total moment is 0.49 μB per cell.

=====

(20)
Computed, not measured: an optimized crystal structure of HoGeAsRh3 at the GGA-PBE level of DFT.

a b c (Å): 5.619 15.127 5.615
angles (deg): 90.00 90.00 90.00
Space group Cmcm (No. 63)
Inequivalent atoms, fractional coordinates:
Ho1 0.000 0.197 0.250 [4 per cell]
Ge1 0.000 0.405 0.750 [4 per cell]
As1 0.000 0.091 0.750 [4 per cell]
Rh1 0.000 0.247 0.750 [4 per cell]
Rh2 0.249 0.000 0.000 [8 per cell]

Its formation energy is -0.64 eV/atom. The value obtained for the size of the total moment is 0.00 μB per cell.